Entry 1:
Pu7Ga2Tc2: optimized geometry, GGA-PBE.

Cell: 6.591 6.591 6.498 Å, 90.00 90.00 108.64°
Fractional positions:
1 Pu 0.000 0.000 0.000
2 Pu 0.000 0.500 0.281
3 Pu 0.000 0.500 0.719
4 Pu 0.500 0.000 0.281
5 Pu 0.500 0.000 0.719
6 Pu 0.500 0.500 0.274
7 Pu 0.500 0.500 0.726
8 Ga 0.159 0.159 0.500
9 Ga 0.841 0.841 0.500
10 Tc 0.293 0.707 0.000
11 Tc 0.707 0.293 0.000

Calculated values
- ΔH_f (0 K) (meV per atom) = 170

---

Entry 2:
PrNdGd2: optimized geometry, GGA-PBE.

Cell: 12.066 12.066 12.066 Å, 17.34 17.34 17.34°
Fractional positions:
1 Pr 0.000 0.000 0.000
2 Nd 0.500 0.500 0.500
3 Gd 0.250 0.250 0.250
4 Gd 0.750 0.750 0.750

Calculated values
- ΔH_f (0 K) (meV per atom) = 16

---

Entry 3:
Sc7Bi2SN2: optimized geometry, GGA-PBE.

Cell: 12.080 12.080 12.080 Å, 158.86 158.86 30.06°
Fractional positions:
1 Sc 0.000 0.000 0.000
2 Sc 0.083 0.583 0.500
3 Sc 0.185 0.185 0.000
4 Sc 0.417 0.917 0.500
5 Sc 0.583 0.083 0.500
6 Sc 0.815 0.815 0.000
7 Sc 0.917 0.417 0.500
8 Bi 0.318 0.318 0.000
9 Bi 0.682 0.682 0.000
10 S 0.500 0.500 0.000
11 N 0.093 0.093 0.000
12 N 0.907 0.907 0.000

Calculated values
- E_form (uncorrected) (kJ/mol of formula units) = -1127.9

---

What total magnetic moment values result from the calculations? In sequence: 4.3; 14.5; 0.0 μB per formula unit.